(1)
The following is a PBE-GGA calculation of a relaxed structure of Sm2Dy4Th, from Alexandria.

```
data_Sm2Dy4Th
_chemical_formula_sum 'Sm4 Dy8 Th2'
_cell_length_a 6.243
_cell_length_b 3.606
_cell_length_c 20.308
_cell_angle_alpha 90.00
_cell_angle_beta 95.93
_cell_angle_gamma 90.00
_space_group_name_H-M_alt 'C 1 m 1'
_space_group_IT_number 8
loop_
_space_group_symop_operation_xyz
'x,y,z'
'x,-y,z'
'x+1/2,y+1/2,z'
'x+1/2,-y+1/2,z'
loop_
_atom_site_label
_atom_site_fract_x
_atom_site_fract_y
_atom_site_fract_z
Sm1 0.000 0.000 0.000
Sm2 0.094 0.000 0.286
Dy1 0.286 0.000 0.856
Dy2 0.308 0.500 0.430
Dy3 0.381 0.000 0.144
Dy4 0.404 0.500 0.716
Th1 0.190 0.000 0.573
```

Summary:
energy above the most stable polymorph in this dataset	0.000	eV/atom

---

(2)
The following is a PBE-GGA calculation of a relaxed structure of Sm2Dy2Th5, from Alexandria.

```
data_Sm2Dy2Th5
_chemical_formula_sum 'Sm4 Dy4 Th10'
_cell_length_a 11.358
_cell_length_b 5.032
_cell_length_c 10.776
_cell_angle_alpha 90.00
_cell_angle_beta 108.58
_cell_angle_gamma 90.00
_space_group_name_H-M_alt 'C 1 2/m 1'
_space_group_IT_number 12
loop_
_space_group_symop_operation_xyz
'x,y,z'
'-x,-y,-z'
'-x,y,-z'
'x,-y,z'
'x+1/2,y+1/2,z'
'-x+1/2,-y+1/2,-z'
'-x+1/2,y+1/2,-z'
'x+1/2,-y+1/2,z'
loop_
_atom_site_label
_atom_site_fract_x
_atom_site_fract_y
_atom_site_fract_z
Sm1 0.166 0.000 0.057
Dy1 0.167 0.000 0.391
Th1 0.000 0.500 0.500
Th2 0.001 0.500 0.171
Th3 0.164 0.000 0.721
```

---

Magnetic moment across the listed records, respectively: 0.00 0.00 μB/atom.
Calculated formation energy across the listed records, respectively: 25 62 meV/atom.
E across the listed records, respectively: -5.013 -6.132 eV per atom.